Material: Nd6SmTl
Method: DFT, PBE
State: optimized geometry

Structure (extended XYZ):
```
8
Lattice="5.040 0.000 0.000 0.000 5.040 0.000 0.000 0.000 10.430" Properties=species:S:1:pos:R:3 pbc="T T T"
Nd 0.000 0.000 0.000
Nd 0.000 0.000 5.215
Nd 0.000 2.520 2.535
Nd 0.000 2.520 7.896
Nd 2.520 0.000 2.535
Nd 2.520 0.000 7.896
Sm 2.520 2.520 5.215
Tl 2.520 2.520 0.000
```

Summary:
The volume is 265.0 Å³ per cell. For the relative energy among the computed polymorphs, the calculation gives 0 meV per atom.


Material: NdSm8Tl2
Method: DFT, PBE
State: optimized geometry

Structure (extended XYZ):
```
11
Lattice="8.031 -3.444 0.000 8.031 3.444 0.000 -1.196 0.000 6.532" Properties=species:S:1:pos:R:3 pbc="T T T"
Nd 0.000 0.000 0.000
Sm 5.769 1.637 3.858
Sm 2.369 0.000 5.350
Sm 9.097 1.637 2.674
Sm 6.511 0.000 0.609
Sm 8.356 0.000 5.922
Sm 5.769 -1.637 3.858
Sm 12.498 0.000 1.182
Sm 9.097 -1.637 2.674
Tl 3.591 0.000 2.014
Tl 11.275 0.000 4.517
```

Summary:
The volume is 361.3 Å³ per cell. For the relative energy among the computed polymorphs, the calculation gives 79 meV per atom.


Material: Nd3Sm12Tl
Method: DFT, PBE
State: optimized geometry

Structure (extended XYZ):
```
16
Lattice="5.074 0.000 0.000 0.000 5.074 0.000 0.000 0.000 20.636" Properties=species:S:1:pos:R:3 pbc="T T T"
Nd 0.000 0.000 0.000
Nd 0.000 0.000 5.210
Nd 0.000 0.000 15.426
Sm 0.000 2.537 2.616
Sm 0.000 2.537 7.840
Sm 0.000 2.537 12.796
Sm 0.000 2.537 18.020
Sm 2.537 0.000 2.616
Sm 2.537 0.000 7.840
Sm 2.537 0.000 12.796
Sm 2.537 0.000 18.020
Sm 2.537 2.537 0.000
Sm 2.537 2.537 5.278
Sm 2.537 2.537 10.318
Sm 2.537 2.537 15.358
Tl 0.000 0.000 10.318
```

Summary:
The volume is 531.3 Å³ per cell. As for the total energy: -73.72 eV per cell.


> Among the records above, which one has the highest volume?

Nd3Sm12Tl


Please write out number 3 again, unchanged.
Material: Nd3Sm12Tl
Method: DFT, PBE
State: optimized geometry

Structure (extended XYZ):
```
16
Lattice="5.074 0.000 0.000 0.000 5.074 0.000 0.000 0.000 20.636" Properties=species:S:1:pos:R:3 pbc="T T T"
Nd 0.000 0.000 0.000
Nd 0.000 0.000 5.210
Nd 0.000 0.000 15.426
Sm 0.000 2.537 2.616
Sm 0.000 2.537 7.840
Sm 0.000 2.537 12.796
Sm 0.000 2.537 18.020
Sm 2.537 0.000 2.616
Sm 2.537 0.000 7.840
Sm 2.537 0.000 12.796
Sm 2.537 0.000 18.020
Sm 2.537 2.537 0.000
Sm 2.537 2.537 5.278
Sm 2.537 2.537 10.318
Sm 2.537 2.537 15.358
Tl 0.000 0.000 10.318
```

Summary:
The volume is 531.3 Å³ per cell. As for the total energy: -73.72 eV per cell.


> Number 2 is which compound?

NdSm8Tl2


Repeat the first record exactly.
Material: Nd6SmTl
Method: DFT, PBE
State: optimized geometry

Structure (extended XYZ):
```
8
Lattice="5.040 0.000 0.000 0.000 5.040 0.000 0.000 0.000 10.430" Properties=species:S:1:pos:R:3 pbc="T T T"
Nd 0.000 0.000 0.000
Nd 0.000 0.000 5.215
Nd 0.000 2.520 2.535
Nd 0.000 2.520 7.896
Nd 2.520 0.000 2.535
Nd 2.520 0.000 7.896
Sm 2.520 2.520 5.215
Tl 2.520 2.520 0.000
```

Summary:
The volume is 265.0 Å³ per cell. For the relative energy among the computed polymorphs, the calculation gives 0 meV per atom.